No. 1
Computed, not measured: LaTb2Nd4Tm after structural relaxation at the PBE-GGA level of DFT.

Output
Formation enthalpy at 0 K, kJ per mole of atoms: 1.7
V, Å³ per cell: 271.5

Unit cell a=3.6536 b=12.0389 c=6.2723 alpha=79.82 beta=90.00 gamma=90.00
Positions (direct):
La 0.5000 0.5000 0.0000
Tb 0.0000 0.0000 0.0000
Tb 0.5000 0.0000 0.5000
Nd 0.0000 0.7534 0.7492
Nd 0.0000 0.2466 0.2508
Nd 0.5000 0.7503 0.2513
Nd 0.5000 0.2497 0.7487
Tm 0.0000 0.5000 0.5000

---

No. 2
Computed, not measured: Sm5Tm2Sb4 after structural relaxation at the PBE-GGA level of DFT.

Output
Formation energy without anion corrections, eV per atom: -0.583
V, Å³ per cell: 370.7

Unit cell a=4.2606 b=8.2596 c=11.8971 alpha=115.40 beta=100.32 gamma=90.00
Last column: magnetic moment on the atom in μB.
Positions (direct):
Sm 0.0987 0.7228 0.1974  0.03
Sm 0.9013 0.2772 0.8026  0.03
Sm 0.1747 0.3670 0.3493  0.16
Sm 0.5000 0.0000 0.0000  0.00
Sm 0.8253 0.6330 0.6507  0.16
Tm 0.2890 0.9214 0.5779  0.17
Tm 0.7110 0.0786 0.4221  0.17
Sb 0.6930 0.6779 0.3859  -0.01
Sb 0.9647 0.6954 0.9293  0.00
Sb 0.3070 0.3221 0.6141  -0.01
Sb 0.0353 0.3046 0.0707  0.00

---

No. 3
Computed, not measured: Ga3BCl after structural relaxation at the PBE-GGA level of DFT.

Output
Formation energy without anion corrections, eV per atom: 0.204
Energy above the lowest structure with this stoichiometry, meV per atom: 0.0
V, Å³ per cell: 92.9

Unit cell a=4.5287 b=4.5287 c=4.5287 alpha=90.00 beta=90.00 gamma=90.00
Positions (direct):
B 0.0000 0.0000 0.0000
Ga 0.0000 0.5000 0.0000
Ga 0.0000 0.0000 0.5000
Ga 0.5000 0.0000 0.0000
Cl 0.5000 0.5000 0.5000

---

No. 4
Computed, not measured: TlCo2Ru after structural relaxation at the PBE-GGA level of DFT.

Output
Formation enthalpy at 0 K, kJ per mole of atoms: 50.4
Energy above the lowest structure with this stoichiometry, meV per atom: 54.7
V, Å³ per cell: 58.5

Unit cell a=4.7318 b=4.7318 c=4.6092 alpha=75.06 beta=75.06 gamma=36.11
Last column: magnetic moment on the atom in μB.
Positions (direct):
Co 0.0167 0.0167 0.9762  1.47
Co 0.7435 0.7435 0.7419  1.53
Ru 0.4850 0.4850 0.5480  0.73
Tl 0.2548 0.2548 0.2340  -0.04

---

Question: Which formula does entry 4 have?
Answer: TlCo2Ru